Entry from the Alexandria database: a relaxed Ga2PbCl6 crystal (GGA-PBE). Values from VASP.

Output
Density of states at the Fermi level in states/eV/f.u.: 0.0
Space group: C2/c
Energy relative to the lowest polymorph listed for this composition in eV/atom: 0.000
Formation energy from raw total energies in eV/atom: -1.02
Spin magnetization in μB per formula unit: 0.00

```
&SYSTEM
  ibrav = 0, nat = 18, ntyp = 3
/
ATOMIC_SPECIES
Ga 69.72 Ga.upf
Pb 207.20 Pb.upf
Cl 35.45 Cl.upf
CELL_PARAMETERS angstrom
7.289 -6.707 0.000
7.289 6.707 0.000
-0.825 0.000 6.648
ATOMIC_POSITIONS angstrom
Ga 1.013 1.052 1.741
Ga 0.601 -1.052 5.065
Ga 13.152 1.052 1.583
Ga 12.739 -1.052 4.907
Pb 6.670 1.118 4.986
Pb 7.082 -1.118 1.662
Cl 4.384 3.866 5.492
Cl 1.715 0.720 3.987
Cl 2.128 -0.720 0.663
Cl 5.380 0.789 2.442
Cl 8.956 3.866 4.480
Cl 4.968 -0.789 5.766
Cl 8.784 0.789 0.882
Cl 4.796 -3.866 2.168
Cl 8.372 -0.789 4.206
Cl 11.625 0.720 5.986
Cl 12.037 -0.720 2.662
Cl 9.369 -3.866 1.156
```